# BaNbTlSb2, optimized geometry, DFT GGA-PBEsol
# Volume (Å³/cell): 187.5
# Formation energy (no corrections) (meV/atom): 1189.7
# Space group: P4/mmm (123)
# DFT total energy (eV for the cell shown): -18.77
# Magnetization (μB per formula unit): 3.90
data_BaNbTlSb2
_chemical_formula_sum 'Ba1 Nb1 Tl1 Sb2'
_cell_length_a 5.6047
_cell_length_b 5.6047
_cell_length_c 5.9684
_cell_angle_alpha 90.00
_cell_angle_beta 90.00
_cell_angle_gamma 90.00
_space_group_name_H-M_alt 'P 1'
_space_group_IT_number 1
loop_
_space_group_symop_operation_xyz
'x,y,z'
loop_
_atom_site_label
_atom_site_type_symbol
_atom_site_fract_x
_atom_site_fract_y
_atom_site_fract_z
Sb1 Sb 0.0000 0.5000 0.0000
Sb2 Sb 0.5000 0.0000 0.0000
Tl1 Tl 0.0000 0.0000 0.0000
Ba1 Ba 0.0000 0.0000 0.5000
Nb1 Nb 0.5000 0.5000 0.5000